CsFe2SnI | PBE | relaxed Values from VASP.

## Properties
Space-group type: P4/mmm, No. 123
Crystal system: tetragonal
Formation energy from raw total energies: 1.9963 eV per atom
Spin magnetization: 0.95 μB/atom

```
&SYSTEM
  ibrav = 0, nat = 5, ntyp = 4
/
ATOMIC_SPECIES
Cs 132.91 Cs.upf
Fe 55.84 Fe.upf
Sn 118.71 Sn.upf
I 126.90 I.upf
CELL_PARAMETERS angstrom
4.933 0.000 0.000
0.000 4.933 0.000
0.000 0.000 6.789
ATOMIC_POSITIONS crystal
Cs 0.000 0.000 0.000
Fe 0.000 0.500 0.000
Fe 0.500 0.000 0.000
Sn 0.000 0.000 0.500
I 0.500 0.500 0.500
```

---

Cs2SrFeI6 | PBE | relaxed Values from VASP.

## Properties
Space-group type: P-3m1, No. 164
Crystal system: trigonal
Formation energy from raw total energies: -1.1398 eV per atom
Spin magnetization: 0.40 μB/atom

```
&SYSTEM
  ibrav = 0, nat = 10, ntyp = 4
/
ATOMIC_SPECIES
Cs 132.91 Cs.upf
Sr 87.62 Sr.upf
Fe 55.84 Fe.upf
I 126.90 I.upf
CELL_PARAMETERS angstrom
8.518 0.000 0.000
-4.259 7.377 0.000
0.000 0.000 7.604
ATOMIC_POSITIONS crystal
Cs 0.333 0.667 0.301
Cs 0.667 0.333 0.699
Sr 0.000 0.000 0.000
Fe 0.000 0.000 0.500
I 0.163 0.325 0.714
I 0.163 0.837 0.714
I 0.325 0.163 0.286
I 0.675 0.837 0.714
I 0.837 0.163 0.286
I 0.837 0.675 0.286
```

---

CsSrFe2I6 | PBE | relaxed Values from VASP.

## Properties
Space-group type: C2/c, No. 15
Crystal system: monoclinic
Formation energy from raw total energies: -0.7048 eV per atom
Spin magnetization: 0.70 μB/atom

```
&SYSTEM
  ibrav = 0, nat = 20, ntyp = 4
/
ATOMIC_SPECIES
Cs 132.91 Cs.upf
Sr 87.62 Sr.upf
Fe 55.84 Fe.upf
I 126.90 I.upf
CELL_PARAMETERS angstrom
6.338 -9.352 0.000
6.338 9.352 0.000
-3.235 0.000 8.125
ATOMIC_POSITIONS crystal
Cs 0.183 0.817 0.750
Cs 0.817 0.183 0.250
Sr 0.494 0.506 0.250
Sr 0.506 0.494 0.750
Fe 0.198 0.352 0.841
Fe 0.352 0.198 0.341
Fe 0.648 0.802 0.659
Fe 0.802 0.648 0.159
I 0.023 0.637 0.283
I 0.197 0.240 0.093
I 0.240 0.197 0.593
I 0.363 0.977 0.217
I 0.364 0.615 0.983
I 0.385 0.636 0.517
I 0.615 0.364 0.483
I 0.636 0.385 0.017
I 0.637 0.023 0.783
I 0.760 0.803 0.407
I 0.803 0.760 0.907
I 0.977 0.363 0.717
```

---

- Which value of formation energy from raw total energies does entry 1 give?
  1.9963 eV per atom

---

- spin magnetization of number 2 (Cs2SrFeI6)?
  0.40 μB/atom

---

- Among the records above, which one has the lowest formation energy from raw total energies?
  Cs2SrFeI6

---

What did the third record say?
CsSrFe2I6 | PBE | relaxed Values from VASP.

## Properties
Space-group type: C2/c, No. 15
Crystal system: monoclinic
Formation energy from raw total energies: -0.7048 eV per atom
Spin magnetization: 0.70 μB/atom

```
&SYSTEM
  ibrav = 0, nat = 20, ntyp = 4
/
ATOMIC_SPECIES
Cs 132.91 Cs.upf
Sr 87.62 Sr.upf
Fe 55.84 Fe.upf
I 126.90 I.upf
CELL_PARAMETERS angstrom
6.338 -9.352 0.000
6.338 9.352 0.000
-3.235 0.000 8.125
ATOMIC_POSITIONS crystal
Cs 0.183 0.817 0.750
Cs 0.817 0.183 0.250
Sr 0.494 0.506 0.250
Sr 0.506 0.494 0.750
Fe 0.198 0.352 0.841
Fe 0.352 0.198 0.341
Fe 0.648 0.802 0.659
Fe 0.802 0.648 0.159
I 0.023 0.637 0.283
I 0.197 0.240 0.093
I 0.240 0.197 0.593
I 0.363 0.977 0.217
I 0.364 0.615 0.983
I 0.385 0.636 0.517
I 0.615 0.364 0.483
I 0.636 0.385 0.017
I 0.637 0.023 0.783
I 0.760 0.803 0.407
I 0.803 0.760 0.907
I 0.977 0.363 0.717
```